Entry 1:
DFT (GGA-PBE) results for CaPmMg after structural relaxation.

Results
Density of states at the Fermi level: 19.0 states/eV per cell
Relative energy among the computed polymorphs: 0.349 eV per atom
Density: 3.05 Mg/m³
Raw total energy: -2.48 eV/atom
SG: Fdd2

POSCAR file:
```
CaPmMg
1.0
-6.909 -0.446 3.282
2.880 -4.148 5.762
3.477 8.811 -0.562
Ca Mg Pm
4 4 4
Cartesian
-3.466 1.506 2.514
0.720 4.986 2.853
-2.717 4.841 4.542
-2.008 -0.491 5.443
2.813 2.466 2.514
-1.368 -1.008 2.164
0.803 0.175 7.025
0.089 5.500 6.135
2.150 2.866 5.707
1.456 -0.221 3.829
-0.022 1.683 0.845
-1.267 2.813 7.451
```

Entry 2:
DFT (GGA-PBE) results for Pd5PtPb after structural relaxation.

Results
Density of states at the Fermi level: 10.9 states/eV per cell
Relative energy among the computed polymorphs: 0.221 eV per atom
Density: 11.51 Mg/m³
Raw total energy: -4.84 eV/atom
SG: Imm2

POSCAR file:
```
Pd5PtPb
1.0
-3.560 6.332 0.874
-0.766 -1.141 5.142
5.146 -1.028 -2.216
Pt Pd Pb
1 5 1
Cartesian
-1.097 1.951 0.269
-1.124 4.569 0.846
-4.091 5.380 4.755
-3.697 5.967 2.111
-1.524 1.459 2.851
1.025 1.228 3.180
-2.776 3.686 3.159
```

Entry 3:
DFT (GGA-PBE) results for Ta3MnSe after structural relaxation.

Results
Density of states at the Fermi level: 7.3 states/eV per cell
Relative energy among the computed polymorphs: 0.549 eV per atom
Density: 11.13 Mg/m³
Raw total energy: -8.27 eV/atom
Formation energy from raw total energies: 1.3692 eV per atom
SG: Pm-3m

POSCAR file:
```
Ta3MnSe
1.0
-3.824 -2.653 -0.161
2.582 -3.775 0.878
-0.630 0.631 4.571
Ta Mn Se
3 1 1
Cartesian
-0.315 0.316 2.285
-1.912 -1.327 -0.080
1.291 -1.887 0.439
-0.936 -2.898 2.644
0.000 0.000 0.000
```